La2DyEr after structural relaxation. Source: the Alexandria database, functional GGA-PBE. Values from VASP.

```
&SYSTEM
  ibrav = 0, nat = 8, ntyp = 3
/
ATOMIC_SPECIES
La 138.91 La.upf
Dy 162.50 Dy.upf
Er 167.26 Er.upf
ATOMIC_POSITIONS crystal
La 0.125 0.375 0.750
La 0.625 0.875 0.750
La 0.875 0.625 0.250
La 0.375 0.125 0.250
Dy 0.875 0.125 0.250
Dy 0.125 0.875 0.750
Er 0.375 0.625 0.250
Er 0.625 0.375 0.750
CELL_PARAMETERS angstrom
0.540 -1.999 6.913
6.104 3.840 0.256
-2.715 4.222 1.434
```

Values from the calculation:
SG ... No. 63
Total DFT energy (no corrections) ... -4.731 eV/atom
Calculated formation energy ... 0.024 eV per atom
Distance to the lowest polymorph of the same formula ... 3.2 meV per atom



SrSnPb3 after structural relaxation. Source: the Alexandria database, functional GGA-PBE. Values from VASP.

```
&SYSTEM
  ibrav = 0, nat = 10, ntyp = 3
/
ATOMIC_SPECIES
Sr 87.62 Sr.upf
Sn 118.71 Sn.upf
Pb 207.20 Pb.upf
ATOMIC_POSITIONS crystal
Sr 0.558 0.058 0.116
Sr 0.942 0.442 0.884
Sn 0.000 0.000 0.000
Sn 0.250 0.750 0.500
Pb 0.625 0.875 0.750
Pb 0.125 0.875 0.250
Pb 0.125 0.375 0.250
Pb 0.125 0.875 0.750
Pb 0.341 0.341 0.682
Pb 0.659 0.659 0.318
CELL_PARAMETERS angstrom
6.211 0.000 0.000
0.000 6.211 0.000
-3.106 -3.106 10.734
```

Values from the calculation:
SG ... No. 119
Total DFT energy (no corrections) ... -3.324 eV/atom
Calculated formation energy ... 0.038 eV per atom
Distance to the lowest polymorph of the same formula ... 259.6 meV per atom



SeN2F after structural relaxation. Source: the Alexandria database, functional GGA-PBE. Values from VASP.

```
&SYSTEM
  ibrav = 0, nat = 4, ntyp = 3
/
ATOMIC_SPECIES
N 14.01 N.upf
Se 78.96 Se.upf
F 19.00 F.upf
ATOMIC_POSITIONS crystal
N 0.875 0.875 0.875
N 0.125 0.125 0.125
Se 0.000 0.000 0.000
F 0.500 0.500 0.500
CELL_PARAMETERS angstrom
-2.052 -4.660 0.654
-0.022 -3.042 4.136
-3.910 -1.494 2.974
```

Values from the calculation:
SG ... No. 166
Total DFT energy (no corrections) ... -3.766 eV/atom
Distance to the lowest polymorph of the same formula ... 428.2 meV per atom



Cr2GaHgB after structural relaxation. Source: the Alexandria database, functional GGA-PBE. Values from VASP.

```
&SYSTEM
  ibrav = 0, nat = 5, ntyp = 4
/
ATOMIC_SPECIES
Cr 52.00 Cr.upf
B 10.81 B.upf
Hg 200.59 Hg.upf
Ga 69.72 Ga.upf
ATOMIC_POSITIONS crystal
Cr 0.000 0.000 0.500
Cr 0.500 0.000 0.000
B 0.000 0.000 0.000
Hg 0.000 0.500 0.000
Ga 0.500 0.500 0.500
CELL_PARAMETERS angstrom
4.159 0.000 0.000
0.000 4.374 0.000
0.000 0.000 4.159
```

Values from the calculation:
SG ... No. 123
Total DFT energy (no corrections) ... -5.353 eV/atom
Calculated formation energy ... 0.498 eV per atom



YGa7Cu5 after structural relaxation. Source: the Alexandria database, functional GGA-PBE. Values from VASP.

```
&SYSTEM
  ibrav = 0, nat = 13, ntyp = 3
/
ATOMIC_SPECIES
Y 88.91 Y.upf
Ga 69.72 Ga.upf
Cu 63.55 Cu.upf
ATOMIC_POSITIONS crystal
Y 0.999 0.001 0.001
Ga 0.647 0.353 0.353
Ga 0.346 0.654 0.654
Ga 0.992 0.353 0.664
Ga 0.992 0.664 0.353
Ga 0.270 0.230 0.230
Ga 0.508 0.795 0.188
Ga 0.508 0.188 0.795
Cu 0.500 0.000 0.496
Cu 0.004 0.000 0.496
Cu 0.500 0.496 0.000
Cu 0.004 0.496 0.000
Cu 0.731 0.769 0.769
CELL_PARAMETERS angstrom
5.220 0.000 0.000
2.610 6.179 -0.086
2.610 -0.106 6.178
```

Values from the calculation:
SG ... No. 44
Total DFT energy (no corrections) ... -3.964 eV/atom
Calculated formation energy ... -0.261 eV per atom



InReHg2 after structural relaxation. Source: the Alexandria database, functional GGA-PBE. Values from VASP.

```
&SYSTEM
  ibrav = 0, nat = 4, ntyp = 3
/
ATOMIC_SPECIES
Hg 200.59 Hg.upf
In 114.82 In.upf
Re 186.21 Re.upf
ATOMIC_POSITIONS crystal
Hg 0.012 0.012 0.012
Hg 0.254 0.254 0.254
In 0.485 0.485 0.485
Re 0.749 0.749 0.749
CELL_PARAMETERS angstrom
-9.086 -7.610 -0.615
-7.179 -9.197 -2.172
-7.210 -9.397 0.750
```

Values from the calculation:
SG ... No. 160
Total DFT energy (no corrections) ... -3.378 eV/atom
Calculated formation energy ... 0.569 eV per atom



Look up the total DFT energy (no corrections) of the fifth one. -3.964 eV/atom